A plane-wave DFT calculation with PBE was carried out for a relaxed Ho4Tl2N crystal.

## Properties
Polymorph energy (0 for the lowest one): 0.000 eV/atom
Crystal system: tetragonal
Density of states at the Fermi level: 4.9 states/eV per cell
Final energy: -36.3 eV per cell
Formation energy (no corrections): -0.70 eV/atom

a = 4.7151 Å, b = 4.7151 Å, c = 8.5688 Å
α = 74.03°, β = 74.03°, γ = 90.00°
Atoms (fractional coordinates):
1 Tl 0.6386 0.6386 0.7227
2 Tl 0.3614 0.3614 0.2773
3 Ho 0.8364 0.8364 0.3272
4 Ho 0.1636 0.1636 0.6728
5 Ho 0.0000 0.5000 0.0000
6 Ho 0.5000 0.0000 0.0000
7 N 0.0000 0.0000 0.0000

A plane-wave DFT calculation with PBE was carried out for a relaxed Ho6Tl2N crystal.

## Properties
Polymorph energy (0 for the lowest one): 0.157 eV/atom
Crystal system: orthorhombic
Density of states at the Fermi level: 9.0 states/eV per cell
Final energy: -44.2 eV per cell
Formation energy (no corrections): -0.41 eV/atom

a = 3.5148 Å, b = 9.0550 Å, c = 8.7530 Å
α = 121.15°, β = 90.00°, γ = 90.00°
Atoms (fractional coordinates):
1 Ho 0.5000 0.6030 0.0000
2 Ho 0.5000 0.4302 0.4075
3 Ho 0.5000 0.0227 0.5925
4 Ho 0.0000 0.2609 0.0000
5 Ho 0.0000 0.7933 0.7887
6 Ho 0.0000 0.0046 0.2113
7 Tl 0.0000 0.3466 0.6575
8 Tl 0.0000 0.6891 0.3425
9 N 0.5000 0.8496 0.0000

A plane-wave DFT calculation with PBE was carried out for a relaxed Ho12Tl6N crystal.

## Properties
Crystal system: trigonal
Density of states at the Fermi level: 13.8 states/eV per cell
Final energy: -83.5 eV per cell
Formation energy (no corrections): -0.32 eV/atom

a = 8.1743 Å, b = 8.1743 Å, c = 8.1743 Å
α = 94.72°, β = 94.72°, γ = 94.72°
Atoms (fractional coordinates):
1 Ho 0.7997 0.5834 0.4665
2 Ho 0.4665 0.7997 0.5834
3 Ho 0.5834 0.4665 0.7997
4 Ho 0.2003 0.4166 0.5335
5 Ho 0.5335 0.2003 0.4166
6 Ho 0.4166 0.5335 0.2003
7 Ho 0.9668 0.0748 0.2864
8 Ho 0.9252 0.7136 0.0332
9 Ho 0.7136 0.0332 0.9252
10 Ho 0.0332 0.9252 0.7136
11 Ho 0.0748 0.2864 0.9668
12 Ho 0.2864 0.9668 0.0748
13 Tl 0.6376 0.8567 0.2485
14 Tl 0.7515 0.3624 0.1433
15 Tl 0.1433 0.7515 0.3624
16 Tl 0.3624 0.1433 0.7515
17 Tl 0.2485 0.6376 0.8567
18 Tl 0.8567 0.2485 0.6376
19 N 0.0000 0.0000 0.0000

Question: The highest formation energy (no corrections) belongs to which entry?
Answer: Ho12Tl6N

Question: Which value of final energy does entry 3 give?
Answer: -83.5 eV per cell

Please write out number 2 again, unchanged.
A plane-wave DFT calculation with PBE was carried out for a relaxed Ho6Tl2N crystal.

## Properties
Polymorph energy (0 for the lowest one): 0.157 eV/atom
Crystal system: orthorhombic
Density of states at the Fermi level: 9.0 states/eV per cell
Final energy: -44.2 eV per cell
Formation energy (no corrections): -0.41 eV/atom

a = 3.5148 Å, b = 9.0550 Å, c = 8.7530 Å
α = 121.15°, β = 90.00°, γ = 90.00°
Atoms (fractional coordinates):
1 Ho 0.5000 0.6030 0.0000
2 Ho 0.5000 0.4302 0.4075
3 Ho 0.5000 0.0227 0.5925
4 Ho 0.0000 0.2609 0.0000
5 Ho 0.0000 0.7933 0.7887
6 Ho 0.0000 0.0046 0.2113
7 Tl 0.0000 0.3466 0.6575
8 Tl 0.0000 0.6891 0.3425
9 N 0.5000 0.8496 0.0000

Question: final energy of number 2 (Ho6Tl2N)?
Answer: -44.2 eV per cell